# LiCd2InBr6 PBE-GGA relaxed
data_LiCd2InBr6
_chemical_formula_sum 'Li2 Cd4 In2 Br12'
_cell_length_a 9.989
_cell_length_b 9.989
_cell_length_c 8.052
_cell_angle_alpha 105.03
_cell_angle_beta 105.03
_cell_angle_gamma 87.12
_space_group_name_H-M_alt 'P 1'
_space_group_IT_number 1
_space_group_name_Hall 'P 1'
loop_
_atom_site_label
_atom_site_type_symbol
_atom_site_fract_x
_atom_site_fract_y
_atom_site_fract_z
_atom_site_occupancy
Li1 Li 0.197 0.803 0.750 1
Li2 Li 0.803 0.197 0.250 1
Cd1 Cd 0.234 0.388 0.312 1
Cd2 Cd 0.388 0.234 0.812 1
Cd3 Cd 0.612 0.766 0.188 1
Cd4 Cd 0.766 0.612 0.688 1
In1 In 0.127 0.873 0.250 1
In2 In 0.873 0.127 0.750 1
Br1 Br 0.044 0.186 0.172 1
Br2 Br 0.131 0.624 0.451 1
Br3 Br 0.186 0.044 0.672 1
Br4 Br 0.301 0.444 0.032 1
Br5 Br 0.376 0.869 0.049 1
Br6 Br 0.444 0.301 0.532 1
Br7 Br 0.556 0.699 0.468 1
Br8 Br 0.624 0.131 0.951 1
Br9 Br 0.699 0.556 0.968 1
Br10 Br 0.814 0.956 0.328 1
Br11 Br 0.869 0.376 0.549 1
Br12 Br 0.956 0.814 0.828 1
# **SG**: C2/c (15)
# **Magnetic moment**: 0.00 μB per atom
# **Uncorrected formation energy**: -0.92 eV per atom

# Ti4Al5V PBE-GGA relaxed
data_Ti4Al5V
_chemical_formula_sum 'Ti4 Al5 V1'
_cell_length_a 3.318
_cell_length_b 3.318
_cell_length_c 14.417
_cell_angle_alpha 90.00
_cell_angle_beta 90.00
_cell_angle_gamma 90.00
_space_group_name_H-M_alt 'P 1'
_space_group_IT_number 1
_space_group_name_Hall 'P 1'
loop_
_atom_site_label
_atom_site_type_symbol
_atom_site_fract_x
_atom_site_fract_y
_atom_site_fract_z
_atom_site_occupancy
Ti1 Ti 0.000 0.000 0.101 1
Ti2 Ti 0.000 0.000 0.307 1
Ti3 Ti 0.000 0.000 0.693 1
Ti4 Ti 0.000 0.000 0.899 1
Al1 Al 0.500 0.500 0.000 1
Al2 Al 0.500 0.500 0.204 1
Al3 Al 0.500 0.500 0.408 1
Al4 Al 0.500 0.500 0.592 1
Al5 Al 0.500 0.500 0.796 1
V1 V 0.000 0.000 0.500 1
# **SG**: P4/mmm (123)
# **Magnetic moment**: 0.16 μB per atom
# **Distance to the lowest polymorph of the same formula**: 0.0 kJ/mol of atoms

# AcSmAg4 PBE-GGA relaxed
data_AcSmAg4
_chemical_formula_sum 'Ac1 Sm1 Ag4'
_cell_length_a 5.880
_cell_length_b 5.880
_cell_length_c 5.880
_cell_angle_alpha 60.00
_cell_angle_beta 60.00
_cell_angle_gamma 60.00
_space_group_name_H-M_alt 'P 1'
_space_group_IT_number 1
_space_group_name_Hall 'P 1'
loop_
_atom_site_label
_atom_site_type_symbol
_atom_site_fract_x
_atom_site_fract_y
_atom_site_fract_z
_atom_site_occupancy
Ac1 Ac 0.000 0.000 0.000 1
Sm1 Sm 0.750 0.750 0.750 1
Ag1 Ag 0.376 0.376 0.376 1
Ag2 Ag 0.376 0.376 0.873 1
Ag3 Ag 0.376 0.873 0.376 1
Ag4 Ag 0.873 0.376 0.376 1
# **SG**: F-43m (216)
# **Magnetic moment**: 0.00 μB per atom
# **Distance to the lowest polymorph of the same formula**: 13.7 kJ/mol of atoms

> Among the records above, which one has the highest magnetic moment?

Ti4Al5V